Entry from the Alexandria database: an optimized crystal structure of KSiBr2 (PBE).

Structure (CIF):
```
data_KSiBr2
_chemical_formula_sum 'K3 Si3 Br6'
_cell_length_a 4.7113
_cell_length_b 4.7113
_cell_length_c 19.5157
_cell_angle_alpha 90.00
_cell_angle_beta 90.00
_cell_angle_gamma 120.00
_space_group_name_H-M_alt 'R -3 m'
_space_group_IT_number 166
_space_group_name_Hall '-R 3 2"'
loop_
_atom_site_label
_atom_site_type_symbol
_atom_site_fract_x
_atom_site_fract_y
_atom_site_fract_z
K1 K 0.0000 0.0000 0.0000
Si1 Si 0.0000 0.0000 0.5000
Br1 Br 0.0000 0.0000 0.2323
```

Energy, eV per atom: -2.90
Raw formation energy, eV per atom: -0.435
Distance to the lowest polymorph of the same formula, eV/f.u.: 0.75

Entry from the Alexandria database: an optimized crystal structure of KSiBr2 (PBE).

Structure (CIF):
```
data_KSiBr2
_chemical_formula_sum 'K1 Si1 Br2'
_cell_length_a 4.493
_cell_length_b 4.493
_cell_length_c 6.429
_cell_angle_alpha 90.00
_cell_angle_beta 90.00
_cell_angle_gamma 90.00
_space_group_name_H-M_alt 'P 4 m m'
_space_group_IT_number 99
_space_group_name_Hall 'P 4 -2'
loop_
_atom_site_label
_atom_site_type_symbol
_atom_site_fract_x
_atom_site_fract_y
_atom_site_fract_z
K1 K 0.000 0.000 0.000
Si1 Si 0.500 0.500 0.499
Br1 Br 0.000 0.000 0.494
Br2 Br 0.500 0.500 0.885
```

Energy, eV per atom: -2.94
Raw formation energy, eV per atom: -0.478
Distance to the lowest polymorph of the same formula, eV/f.u.: 0.58

Entry from the Alexandria database: an optimized crystal structure of K4SiBr (PBE).

Structure (CIF):
```
data_K4SiBr
_chemical_formula_sum 'K16 Si4 Br4'
_cell_length_a 10.127
_cell_length_b 10.127
_cell_length_c 10.127
_cell_angle_alpha 90.00
_cell_angle_beta 90.00
_cell_angle_gamma 90.00
_space_group_name_H-M_alt 'F -4 3 m'
_space_group_IT_number 216
_space_group_name_Hall 'F -4 2 3'
loop_
_atom_site_label
_atom_site_type_symbol
_atom_site_fract_x
_atom_site_fract_y
_atom_site_fract_z
K1 K 0.125 0.125 0.125
Si1 Si 0.250 0.250 0.750
Br1 Br 0.000 0.000 0.500
```

Energy, eV per atom: -1.72
Raw formation energy, eV per atom: 0.195

Entry from the Alexandria database: an optimized crystal structure of KSiBr2 (PBE).

Structure (CIF):
```
data_KSiBr2
_chemical_formula_sum 'K3 Si3 Br6'
_cell_length_a 4.2150
_cell_length_b 4.2150
_cell_length_c 28.2015
_cell_angle_alpha 90.00
_cell_angle_beta 90.00
_cell_angle_gamma 120.00
_space_group_name_H-M_alt 'R -3 m'
_space_group_IT_number 166
_space_group_name_Hall '-R 3 2"'
loop_
_atom_site_label
_atom_site_type_symbol
_atom_site_fract_x
_atom_site_fract_y
_atom_site_fract_z
K1 K 0.0000 0.0000 0.0000
Si1 Si 0.0000 0.0000 0.5000
Br1 Br 0.0000 0.0000 0.4081
```

Energy, eV per atom: -2.90
Raw formation energy, eV per atom: -0.434
Distance to the lowest polymorph of the same formula, eV/f.u.: 0.75

Entry from the Alexandria database: an optimized crystal structure of K2SiBr (PBE).

Structure (CIF):
```
data_K2SiBr
_chemical_formula_sum 'K2 Si1 Br1'
_cell_length_a 3.716
_cell_length_b 3.788
_cell_length_c 9.011
_cell_angle_alpha 90.00
_cell_angle_beta 90.00
_cell_angle_gamma 90.00
_space_group_name_H-M_alt 'P m m m'
_space_group_IT_number 47
_space_group_name_Hall '-P 2 2'
loop_
_atom_site_label
_atom_site_type_symbol
_atom_site_fract_x
_atom_site_fract_y
_atom_site_fract_z
K1 K 0.000 0.000 0.227
Si1 Si 0.500 0.500 0.500
Br1 Br 0.500 0.500 0.000
```

Energy, eV per atom: -2.73
Raw formation energy, eV per atom: -0.404
Distance to the lowest polymorph of the same formula, eV/f.u.: 0.00

Entry from the Alexandria database: an optimized crystal structure of KSiBr2 (PBE).

Structure (CIF):
```
data_KSiBr2
_chemical_formula_sum 'K4 Si4 Br8'
_cell_length_a 6.206
_cell_length_b 6.206
_cell_length_c 16.690
_cell_angle_alpha 90.00
_cell_angle_beta 90.00
_cell_angle_gamma 90.00
_space_group_name_H-M_alt 'I -4 2 d'
_space_group_IT_number 122
_space_group_name_Hall 'I -4 2bw'
loop_
_atom_site_label
_atom_site_type_symbol
_atom_site_fract_x
_atom_site_fract_y
_atom_site_fract_z
K1 K 0.000 0.000 0.000
Si1 Si 0.000 0.000 0.500
Br1 Br 0.176 0.250 0.625
```

Energy, eV per atom: -2.88
Raw formation energy, eV per atom: -0.415
Distance to the lowest polymorph of the same formula, eV/f.u.: 0.83

Entry from the Alexandria database: an optimized crystal structure of KSiBr2 (PBE).

Structure (CIF):
```
data_KSiBr2
_chemical_formula_sum 'K2 Si2 Br4'
_cell_length_a 8.685
_cell_length_b 3.840
_cell_length_c 7.492
_cell_angle_alpha 90.00
_cell_angle_beta 95.17
_cell_angle_gamma 90.00
_space_group_name_H-M_alt 'C 1 2/m 1'
_space_group_IT_number 12
_space_group_name_Hall '-C 2y'
loop_
_atom_site_label
_atom_site_type_symbol
_atom_site_fract_x
_atom_site_fract_y
_atom_site_fract_z
K1 K 0.000 0.000 0.000
Si1 Si 0.000 0.500 0.500
Br1 Br 0.219 0.500 0.271
```

Energy, eV per atom: -2.92
Raw formation energy, eV per atom: -0.456
Distance to the lowest polymorph of the same formula, eV/f.u.: 0.66

Entry from the Alexandria database: an optimized crystal structure of K2SiBr (PBE).

Structure (CIF):
```
data_K2SiBr
_chemical_formula_sum 'K6 Si3 Br3'
_cell_length_a 4.1366
_cell_length_b 4.1366
_cell_length_c 28.8164
_cell_angle_alpha 90.00
_cell_angle_beta 90.00
_cell_angle_gamma 120.00
_space_group_name_H-M_alt 'R 3 m'
_space_group_IT_number 160
_space_group_name_Hall 'R 3 -2"'
loop_
_atom_site_label
_atom_site_type_symbol
_atom_site_fract_x
_atom_site_fract_y
_atom_site_fract_z
K1 K 0.0000 0.0000 0.0000
K2 K 0.0000 0.0000 0.1825
Si1 Si 0.0000 0.0000 0.4244
Br1 Br 0.0000 0.0000 0.5913
```

Energy, eV per atom: -2.66
Raw formation energy, eV per atom: -0.338
Distance to the lowest polymorph of the same formula, eV/f.u.: 0.26

Entry from the Alexandria database: an optimized crystal structure of KSiBr2 (PBE).

Structure (CIF):
```
data_KSiBr2
_chemical_formula_sum 'K2 Si2 Br4'
_cell_length_a 11.871
_cell_length_b 5.487
_cell_length_c 3.909
_cell_angle_alpha 90.00
_cell_angle_beta 90.13
_cell_angle_gamma 90.00
_space_group_name_H-M_alt 'C 1 m 1'
_space_group_IT_number 8
_space_group_name_Hall 'C -2y'
loop_
_atom_site_label
_atom_site_type_symbol
_atom_site_fract_x
_atom_site_fract_y
_atom_site_fract_z
K1 K 0.000 0.000 0.000
Si1 Si 0.266 0.000 0.499
Br1 Br 0.272 0.500 0.498
Br2 Br 0.470 0.000 0.500
```

Energy, eV per atom: -3.04
Raw formation energy, eV per atom: -0.574
Distance to the lowest polymorph of the same formula, eV/f.u.: 0.19

Entry from the Alexandria database: an optimized crystal structure of KSiBr6 (PBE).

Structure (CIF):
```
data_KSiBr6
_chemical_formula_sum 'K2 Si2 Br12'
_cell_length_a 8.570
_cell_length_b 9.995
_cell_length_c 6.985
_cell_angle_alpha 90.00
_cell_angle_beta 113.36
_cell_angle_gamma 90.00
_space_group_name_H-M_alt 'C 1 2/m 1'
_space_group_IT_number 12
_space_group_name_Hall '-C 2y'
loop_
_atom_site_label
_atom_site_type_symbol
_atom_site_fract_x
_atom_site_fract_y
_atom_site_fract_z
K1 K 0.000 0.000 0.000
Si1 Si 0.000 0.500 0.500
Br1 Br 0.121 0.330 0.762
Br2 Br 0.244 0.000 0.564
```

Energy, eV per atom: -2.77
Raw formation energy, eV per atom: -0.703

Entry from the Alexandria database: an optimized crystal structure of K2SiBr (PBE).

Structure (CIF):
```
data_K2SiBr
_chemical_formula_sum 'K8 Si4 Br4'
_cell_length_a 8.313
_cell_length_b 8.313
_cell_length_c 8.313
_cell_angle_alpha 90.00
_cell_angle_beta 90.00
_cell_angle_gamma 90.00
_space_group_name_H-M_alt 'F m -3 m'
_space_group_IT_number 225
_space_group_name_Hall '-F 4 2 3'
loop_
_atom_site_label
_atom_site_type_symbol
_atom_site_fract_x
_atom_site_fract_y
_atom_site_fract_z
K1 K 0.250 0.250 0.250
Si1 Si 0.000 0.000 0.000
Br1 Br 0.000 0.000 0.500
```

Energy, eV per atom: -2.57
Raw formation energy, eV per atom: -0.249
Distance to the lowest polymorph of the same formula, eV/f.u.: 0.62

Entry from the Alexandria database: an optimized crystal structure of KSiBr (PBE).

Structure (CIF):
```
data_KSiBr
_chemical_formula_sum 'K2 Si2 Br2'
_cell_length_a 3.453
_cell_length_b 5.515
_cell_length_c 10.229
_cell_angle_alpha 90.00
_cell_angle_beta 90.00
_cell_angle_gamma 90.00
_space_group_name_H-M_alt 'I m m 2'
_space_group_IT_number 44
_space_group_name_Hall 'I 2 -2'
loop_
_atom_site_label
_atom_site_type_symbol
_atom_site_fract_x
_atom_site_fract_y
_atom_site_fract_z
K1 K 0.000 0.000 0.000
Si1 Si 0.000 0.000 0.644
Br1 Br 0.000 0.000 0.409
```

Energy, eV per atom: -2.78
Raw formation energy, eV per atom: -0.045
Distance to the lowest polymorph of the same formula, eV/f.u.: 0.00

Entry from the Alexandria database: an optimized crystal structure of K3Si5Br12 (PBE).

Structure (CIF):
```
data_K3Si5Br12
_chemical_formula_sum 'K24 Si40 Br96'
_cell_length_a 17.920
_cell_length_b 17.920
_cell_length_c 17.920
_cell_angle_alpha 90.00
_cell_angle_beta 90.00
_cell_angle_gamma 90.00
_space_group_name_H-M_alt 'I a -3 d'
_space_group_IT_number 230
_space_group_name_Hall '-I 4bd 2c 3'
loop_
_atom_site_label
_atom_site_type_symbol
_atom_site_fract_x
_atom_site_fract_y
_atom_site_fract_z
K1 K 0.000 0.250 0.125
Si1 Si 0.000 0.000 0.000
Si2 Si 0.000 0.250 0.375
Br1 Br 0.032 0.047 0.645
```

Energy, eV per atom: -3.10
Raw formation energy, eV per atom: -0.579